Entry from Alexandria via LeMat-Bulk: a geometry-optimized SrLa2GeN structure (PBE).

Cell: 5.026 5.026 5.148 Å, 90.00 90.00 90.00°
Atoms (fractional coordinates):
Sr: 0.000 0.000 0.500
Ge: 0.500 0.500 0.500
N: 0.000 0.000 0.000
La: 0.000 0.500 0.000
La: 0.500 0.000 0.000

Summary:
SG: P4/mmm
ΔE_f (raw): -0.827 eV per atom
total magnetization: 0.00 μB/f.u.

=====

Entry from Alexandria via LeMat-Bulk: a geometry-optimized SrLaGeN3 structure (PBE).

Cell: 4.111 6.889 7.379 Å, 105.55 90.00 107.36°
Atoms (fractional coordinates):
Sr: 0.352 0.705 0.929
Sr: 0.648 0.295 0.071
La: 0.650 0.300 0.579
La: 0.350 0.700 0.421
Ge: 0.002 0.004 0.258
Ge: 0.998 0.996 0.742
N: 0.852 0.704 0.185
N: 0.846 0.693 0.668
N: 0.503 0.006 0.273
N: 0.154 0.307 0.332
N: 0.497 0.994 0.727
N: 0.148 0.296 0.815

Summary:
SG: C2/m
ΔE_f (raw): -0.595 eV per atom
total magnetization: 0.00 μB/f.u.

=====

Entry from Alexandria via LeMat-Bulk: a geometry-optimized La2TaGeN5 structure (PBE).

Cell: 3.272 7.565 10.404 Å, 90.00 90.00 102.49°
Atoms (fractional coordinates):
La: 0.874 0.747 0.805
La: 0.113 0.225 0.687
La: 0.126 0.253 0.305
La: 0.887 0.775 0.187
Ta: 0.782 0.565 0.517
Ta: 0.218 0.435 0.017
Ge: 0.552 0.104 0.950
Ge: 0.448 0.896 0.450
N: 0.346 0.692 0.001
N: 0.681 0.362 0.884
N: 0.499 0.998 0.789
N: 0.288 0.575 0.646
N: 0.952 0.904 0.545
N: 0.654 0.308 0.501
N: 0.319 0.638 0.384
N: 0.501 0.002 0.289
N: 0.712 0.425 0.146
N: 0.048 0.096 0.045

Summary:
SG: Cmc2_1
ΔE_f (raw): -0.995 eV per atom
total magnetization: 0.00 μB/f.u.

=====

Entry from Alexandria via LeMat-Bulk: a geometry-optimized La2Tb2Ge2N structure (PBE).

Cell: 4.683 4.683 8.726 Å, 105.56 105.56 90.00°
Site moments in Bohr magnetons follow the coordinates.
Atoms (fractional coordinates):
La: 0.170 0.170 0.341  0.10
La: 0.830 0.830 0.659  0.10
Tb: 0.000 0.500 0.000  0.03
Tb: 0.500 0.000 0.000  0.03
Ge: 0.369 0.369 0.737  -0.01
Ge: 0.631 0.631 0.263  -0.01
N: 0.000 0.000 0.000  0.00

Summary:
SG: I4/mmm
ΔE_f (raw): -1.038 eV per atom
total magnetization: 0.56 μB/f.u.

=====

Entry from Alexandria via LeMat-Bulk: a geometry-optimized La2Tc2Ge2N structure (PBE).

Cell: 4.191 6.117 6.250 Å, 72.11 70.41 69.97°
Atoms (fractional coordinates):
La: 0.561 0.170 0.707
La: 0.439 0.830 0.293
Tc: 0.195 0.697 0.914
Tc: 0.805 0.303 0.086
Ge: 0.163 0.384 0.289
Ge: 0.837 0.616 0.711
N: 0.000 0.000 0.000

Summary:
SG: C2/m
ΔE_f (raw): -0.746 eV per atom
total magnetization: 0.00 μB/f.u.

=====

Entry from Alexandria via LeMat-Bulk: a geometry-optimized LaTc2Ge2N structure (PBE).

Cell: 4.190 4.190 5.592 Å, 90.00 90.00 90.00°
Atoms (fractional coordinates):
La: 0.000 0.000 0.500
Tc: 0.500 0.000 0.000
Tc: 0.000 0.500 0.000
Ge: 0.500 0.500 0.721
Ge: 0.500 0.500 0.279
N: 0.000 0.000 0.000

Summary:
SG: P4/mmm
ΔE_f (raw): -0.498 eV per atom
total magnetization: 0.00 μB/f.u.

=====

Entry from Alexandria via LeMat-Bulk: a geometry-optimized LaTc2GeN structure (PBE).

Cell: 3.951 5.974 7.548 Å, 90.00 90.00 109.31°
Atoms (fractional coordinates):
La: 0.456 0.911 0.750
La: 0.544 0.089 0.250
Tc: 0.167 0.333 0.942
Tc: 0.833 0.667 0.058
Tc: 0.167 0.333 0.558
Tc: 0.833 0.667 0.442
Ge: 0.733 0.466 0.750
Ge: 0.267 0.534 0.250
N: 0.000 0.000 0.000
N: 0.000 0.000 0.500

Summary:
SG: Cmcm
ΔE_f (raw): -0.614 eV per atom
total magnetization: 0.00 μB/f.u.

=====

Entry from Alexandria via LeMat-Bulk: a geometry-optimized La2Th4Ge3N2 structure (PBE).

Cell: 4.784 4.784 12.892 Å, 100.69 100.69 90.00°
Atoms (fractional coordinates):
La: 0.301 0.301 0.602
La: 0.699 0.699 0.398
Th: 0.421 0.921 0.842
Th: 0.921 0.421 0.842
Th: 0.079 0.579 0.158
Th: 0.579 0.079 0.158
Ge: 0.000 0.000 0.000
Ge: 0.171 0.171 0.342
Ge: 0.829 0.829 0.658
N: 0.400 0.400 0.801
N: 0.600 0.600 0.199

Summary:
SG: I4/mmm
ΔE_f (raw): -0.958 eV per atom
total magnetization: 0.00 μB/f.u.